An optimized crystal structure of GaCo2CF, computed with GGA+U.

Properties
Its space group is P4/mmm. As for the crystal system: tetragonal. The value obtained for the uncorrected energy is -3.75 eV per atom.

Cell lengths 3.9980, 3.9980, 4.1194 Å; angles 90.00, 90.00, 90.00 degrees
Fractional coordinates of all 5 atoms:
Ga1 0.0000 0.0000 0.0000
Co1 0.0000 0.5000 0.5000
Co2 0.5000 0.0000 0.5000
C1 0.5000 0.5000 0.0000
F1 0.5000 0.5000 0.5000